# 1
Material: MgZnSn
Method: DFT, PBE
State: relaxed

Summary:
- formation energy (eV/atom) = 0.029
- crystal system = triclinic
- N(E_F) (states/eV/atom) = 0.342

```
MgZnSn
1.0
0.064 -2.291 -2.450
7.585 0.370 1.548
-1.370 -4.293 2.840
Zn Mg Sn
2 2 2
direct
0.123 0.853 0.047 Zn
0.187 0.187 0.387 Zn
0.876 0.514 0.236 Mg
0.498 0.877 0.490 Mg
0.826 0.146 0.914 Sn
0.321 0.531 0.720 Sn
```

---

# 2
Material: Mg2ZnSn
Method: DFT, PBE
State: relaxed

Summary:
- formation energy (eV/atom) = 0.090
- crystal system = tetragonal
- N(E_F) (states/eV/atom) = 0.430

```
Mg2ZnSn
1.0
-4.231 -0.862 -0.609
1.013 -2.612 -3.342
-0.945 -9.334 4.162
Zn Mg Sn
2 4 2
direct
0.250 0.750 0.500 Zn
0.500 0.500 0.000 Zn
0.375 0.392 0.750 Mg
0.875 0.858 0.750 Mg
0.142 0.625 0.250 Mg
0.608 0.125 0.250 Mg
0.750 0.250 0.500 Sn
0.000 0.000 0.000 Sn
```

---

# 3
Material: Mg2ZnSn
Method: DFT, PBE
State: relaxed

Summary:
- formation energy (eV/atom) = 0.087
- crystal system = trigonal
- N(E_F) (states/eV/atom) = 0.307

```
Mg2ZnSn
1.0
4.133 0.000 0.000
2.066 3.579 0.000
2.066 1.193 6.468
Mg Sn Zn
2 1 1
direct
0.071 0.071 0.786 Mg
0.263 0.263 0.211 Mg
0.502 0.502 0.493 Sn
0.664 0.664 0.009 Zn
```

---

# 4
Material: Mg5ZnSn
Method: DFT, PBE
State: relaxed

Summary:
- formation energy (eV/atom) = -0.089
- crystal system = tetragonal
- N(E_F) (states/eV/atom) = 0.201

```
Mg5ZnSn
1.0
4.538 -0.772 -0.546
0.708 4.548 -0.546
1.966 1.416 14.339
Mg Sn Zn
10 2 2
direct
0.500 0.000 0.105 Mg
0.000 0.000 0.750 Mg
0.000 0.500 0.605 Mg
0.000 0.500 0.105 Mg
0.000 0.500 0.895 Mg
0.000 0.000 0.250 Mg
0.000 0.500 0.395 Mg
0.500 0.000 0.395 Mg
0.500 0.000 0.605 Mg
0.500 0.000 0.895 Mg
0.500 0.500 0.750 Sn
0.500 0.500 0.250 Sn
0.000 0.000 0.000 Zn
0.000 0.000 0.500 Zn
```

---

# 5
Material: Mg2ZnSn
Method: DFT, PBE
State: relaxed

Summary:
- formation energy (eV/atom) = -0.074
- crystal system = tetragonal
- N(E_F) (states/eV/atom) = 0.451

```
Mg2ZnSn
1.0
-1.972 -1.801 2.187
-1.448 -1.650 -2.664
5.016 -5.024 0.384
Mg Sn Zn
2 1 1
direct
0.000 0.000 0.780 Mg
0.000 0.000 0.220 Mg
0.500 0.500 0.500 Sn
0.500 0.500 0.000 Zn
```

---

# 6
Material: MgZnSn
Method: DFT, PBE
State: relaxed

Summary:
- formation energy (eV/atom) = 0.045
- crystal system = orthorhombic
- N(E_F) (states/eV/atom) = 0.295

```
MgZnSn
1.0
-1.358 0.265 9.446
4.832 -2.336 0.760
2.355 4.936 0.200
Mg Zn Sn
4 4 4
direct
0.585 0.250 0.944 Mg
0.085 0.250 0.556 Mg
0.415 0.750 0.056 Mg
0.915 0.750 0.444 Mg
0.500 0.500 0.500 Zn
0.000 0.000 0.000 Zn
0.500 0.000 0.500 Zn
0.000 0.500 0.000 Zn
0.806 0.250 0.307 Sn
0.306 0.250 0.193 Sn
0.194 0.750 0.693 Sn
0.694 0.750 0.807 Sn
```

---

- Look up the formation energy of the first one.
  0.029 eV/atom